[1]
The following is a GGA-PBE calculation of crystalline YSiSe2 at its relaxed geometry, from Alexandria via LeMat-Bulk.

Unit cell a=4.0657 b=4.0657 c=6.8317 alpha=72.73 beta=72.73 gamma=60.95
Positions (direct):
1 Se 0.0048 0.0048 0.9802
2 Se 0.4952 0.4952 0.5198
3 Si 0.7500 0.7500 0.7500
4 Y 0.2500 0.2500 0.2500

## Properties
Formation energy (no corrections) (eV per formula unit): -2.8
Final energy (eV per formula unit): -21.7

***

[2]
The following is a GGA-PBE calculation of crystalline YSiRu2 at its relaxed geometry, from Alexandria via LeMat-Bulk.

Unit cell a=7.0483 b=7.0483 c=7.0483 alpha=29.06 beta=29.06 gamma=29.06
Positions (direct):
1 Ru 0.9752 0.9752 0.9752
2 Ru 0.5248 0.5248 0.5248
3 Si 0.2500 0.2500 0.2500
4 Y 0.7500 0.7500 0.7500

## Properties
Formation energy (no corrections) (eV per formula unit): -0.7
Final energy (eV per formula unit): -31.1

***

[3]
The following is a GGA-PBE calculation of crystalline NpBr3Cl2 at its relaxed geometry, from Alexandria via LeMat-Bulk.

Unit cell a=5.6386 b=8.1351 c=8.1352 alpha=57.30 beta=69.72 gamma=69.72
Positions (direct):
1 Np 0.7869 0.7131 0.7131
2 Br 0.2877 0.7123 0.7123
3 Br 0.9296 0.8085 0.3323
4 Br 0.9296 0.3323 0.8085
5 Cl 0.6545 0.6211 0.0699
6 Cl 0.6545 0.0699 0.6211

## Properties
Formation energy (no corrections) (eV per formula unit): -7.1
Final energy (eV per formula unit): -28.8

***

[4]
The following is a GGA-PBE calculation of crystalline Na2TlCuO2 at its relaxed geometry, from Alexandria via LeMat-Bulk.

Unit cell a=4.2006 b=4.2754 c=11.1907 alpha=90.00 beta=90.00 gamma=90.00
Positions (direct):
1 Na 0.5000 0.0799 0.2523
2 Na 0.0000 0.5799 0.2477
3 Na 0.5000 0.9201 0.7477
4 Na 0.0000 0.4201 0.7523
5 Tl 0.5000 0.5000 0.0000
6 Tl 0.0000 0.0000 0.5000
7 Cu 0.0000 0.0000 0.0000
8 Cu 0.5000 0.5000 0.5000
9 O 0.5000 0.5883 0.3412
10 O 0.5000 0.4117 0.6588
11 O 0.0000 0.9117 0.8412
12 O 0.0000 0.0883 0.1588

## Properties
Formation energy (no corrections) (eV per formula unit): -5.7
Final energy (eV per formula unit): -24.7

***

[5]
The following is a GGA-PBE calculation of crystalline Ba2Cd5Rh5 at its relaxed geometry, from Alexandria via LeMat-Bulk.

Unit cell a=4.4669 b=5.8405 c=10.0705 alpha=90.00 beta=90.00 gamma=90.00
Positions (direct):
1 Ba 0.0000 0.5000 0.0000
2 Ba 0.0000 0.0000 0.5000
3 Cd 0.0000 0.5000 0.3327
4 Cd 0.0000 0.0000 0.8190
5 Cd 0.0000 0.0000 0.1810
6 Cd 0.0000 0.5000 0.6673
7 Cd 0.5000 0.0000 0.0000
8 Rh 0.5000 0.5000 0.5000
9 Rh 0.5000 0.7565 0.2615
10 Rh 0.5000 0.2435 0.7385
11 Rh 0.5000 0.2435 0.2615
12 Rh 0.5000 0.7565 0.7385

## Properties
Final energy (eV per formula unit): -47.2
Energy of formation from the pure elements (eV/f.u.): -2.0

***

[6]
The following is a GGA-PBE calculation of crystalline TaCrAg2B at its relaxed geometry, from Alexandria via LeMat-Bulk.

Unit cell a=4.7402 b=3.7906 c=4.7402 alpha=90.00 beta=90.00 gamma=90.00
Positions (direct):
1 Cr 0.0000 0.0000 0.0000
2 B 0.0000 0.5000 0.0000
3 Ag 0.0000 0.0000 0.5000
4 Ag 0.5000 0.0000 0.0000
5 Ta 0.5000 0.5000 0.5000

## Properties
Final energy (eV per formula unit): -26.0
Energy of formation from the pure elements (eV/f.u.): 7.8

***

[7]
The following is a GGA-PBE calculation of crystalline SrCr2Rh at its relaxed geometry, from Alexandria via LeMat-Bulk.

Unit cell a=4.4997 b=4.4997 c=4.4997 alpha=60.00 beta=60.00 gamma=60.00
Positions (direct):
1 Sr 0.0000 0.0000 0.0000
2 Rh 0.5000 0.5000 0.5000
3 Cr 0.2500 0.2500 0.2500
4 Cr 0.7500 0.7500 0.7500

## Properties
Final energy (eV per formula unit): -23.9
Energy of formation from the pure elements (eV/f.u.): 4.3

***

[8]
The following is a GGA-PBE calculation of crystalline LaGePd6 at its relaxed geometry, from Alexandria via LeMat-Bulk.

Unit cell a=5.6174 b=5.6174 c=6.9439 alpha=66.14 beta=66.14 gamma=60.00
Positions (direct):
1 La 0.5000 0.5000 0.5000
2 Ge 0.0000 0.0000 0.0000
3 Pd 0.9206 0.9206 0.7200
4 Pd 0.4388 0.9206 0.7200
5 Pd 0.0794 0.5612 0.2800
6 Pd 0.5612 0.0794 0.2800
7 Pd 0.0794 0.0794 0.2800
8 Pd 0.9206 0.4388 0.7200

## Properties
Final energy (eV per formula unit): -43.5
Energy of formation from the pure elements (eV/f.u.): -2.8

***

[9]
The following is a GGA-PBE calculation of crystalline Na2MgAu2 at its relaxed geometry, from Alexandria via LeMat-Bulk.

Unit cell a=8.4754 b=8.4754 c=3.0036 alpha=90.00 beta=90.00 gamma=90.00
Positions (direct):
1 Na 0.3776 0.8776 0.0000
2 Na 0.8776 0.6224 0.0000
3 Na 0.6224 0.1224 0.0000
4 Na 0.1224 0.3776 0.0000
5 Mg 0.0000 0.0000 0.0000
6 Mg 0.5000 0.5000 0.0000
7 Au 0.1764 0.6764 0.5000
8 Au 0.6764 0.8236 0.5000
9 Au 0.8236 0.3236 0.5000
10 Au 0.3236 0.1764 0.5000

## Properties
Final energy (eV per formula unit): -11.6
Energy of formation from the pure elements (eV/f.u.): -0.8

***

[10]
The following is a GGA-PBE calculation of crystalline AcNdCuIr at its relaxed geometry, from Alexandria via LeMat-Bulk.

Unit cell a=4.0891 b=4.5044 c=5.8737 alpha=90.00 beta=110.37 gamma=90.00
Positions (direct):
1 Ac 0.1419 0.0000 0.2838
2 Nd 0.8665 0.5000 0.7330
3 Cu 0.5686 0.5000 0.1372
4 Ir 0.4230 0.0000 0.8459

## Properties
Final energy (eV per formula unit): -23.5
Energy of formation from the pure elements (eV/f.u.): -1.7

***

[11]
The following is a GGA-PBE calculation of crystalline La2BRu2 at its relaxed geometry, from Alexandria via LeMat-Bulk.

Unit cell a=3.5078 b=3.5078 c=8.9441 alpha=78.69 beta=78.69 gamma=90.00
Positions (direct):
1 Ru 0.7500 0.2500 0.5000
2 Ru 0.2500 0.7500 0.5000
3 B 0.0000 0.0000 0.0000
4 La 0.4079 0.4079 0.1841
5 La 0.5921 0.5921 0.8159

## Properties
Final energy (eV per formula unit): -33.6
Energy of formation from the pure elements (eV/f.u.): 1.5

***

[12]
The following is a GGA-PBE calculation of crystalline RbSrSc2Cl at its relaxed geometry, from Alexandria via LeMat-Bulk.

Unit cell a=5.9157 b=5.7654 c=5.9157 alpha=90.00 beta=90.00 gamma=90.00
Positions (direct):
1 Sc 0.0000 0.0000 0.5000
2 Sc 0.5000 0.0000 0.0000
3 Sr 0.5000 0.5000 0.5000
4 Rb 0.0000 0.0000 0.0000
5 Cl 0.0000 0.5000 0.0000

## Properties
Formation energy (no corrections) (eV per formula unit): 3.6
Final energy (eV per formula unit): -13.6

***

no.,density of states at the Fermi level (states/eV/atom)
1,0.571
2,0.713
3,0.936
4,0.006
5,0.726
6,0.705
7,1.137
8,0.480
9,0.253
10,0.759
11,1.177
12,1.918